[1]
Ho8Er2Mg (PBE, relaxed); ΔE_f = 0.171 eV/atom; symmetry = Cmmm (65); D(E_F) = 18.16 states/eV/f.u.; distance to the lowest polymorph of the same formula = 0.06 eV per formula unit; spin magnetization = 0.0000 μB/atom
1.0
5.060 -6.417 0.000
5.060 6.417 0.000
0.000 0.000 5.356
Ho Er Mg
8 2 1
direct
0.165 0.165 0.000 Ho
0.200 0.474 0.500 Ho
0.248 0.752 0.000 Ho
0.474 0.200 0.500 Ho
0.526 0.800 0.500 Ho
0.752 0.248 0.000 Ho
0.800 0.526 0.500 Ho
0.835 0.835 0.000 Ho
0.121 0.879 0.500 Er
0.879 0.121 0.500 Er
0.500 0.500 0.000 Mg

***

[2]
HoEr3Mg4 (PBE, relaxed); ΔE_f = 0.088 eV/atom; symmetry = Immm (71); D(E_F) = 8.53 states/eV/f.u.; distance to the lowest polymorph of the same formula = 1.27 eV per formula unit; spin magnetization = 0.0000 μB/atom
1.0
-1.631 3.176 10.840
1.631 -3.176 10.840
1.631 3.176 -10.840
Ho Er Mg
1 3 4
direct
0.000 0.000 0.000 Ho
0.237 0.737 0.500 Er
0.500 0.500 0.000 Er
0.763 0.263 0.500 Er
0.134 0.874 0.259 Mg
0.385 0.126 0.259 Mg
0.615 0.874 0.741 Mg
0.866 0.126 0.741 Mg

***

[3]
Ho4Er2Mg (PBE, relaxed); ΔE_f = 0.108 eV/atom; symmetry = P2_1/m (11); D(E_F) = 9.73 states/eV/f.u.; distance to the lowest polymorph of the same formula = 0.00 eV per formula unit; spin magnetization = 0.0000 μB/atom
1.0
5.930 0.000 0.000
0.000 6.495 0.000
-2.964 0.000 10.969
Ho Er Mg
8 4 2
direct
0.023 0.250 0.374 Ho
0.152 0.250 0.940 Ho
0.358 0.002 0.212 Ho
0.358 0.498 0.212 Ho
0.642 0.502 0.788 Ho
0.642 0.998 0.788 Ho
0.848 0.750 0.060 Ho
0.977 0.750 0.626 Ho
0.275 0.750 0.923 Er
0.399 0.750 0.495 Er
0.601 0.250 0.505 Er
0.725 0.250 0.077 Er
0.151 0.250 0.665 Mg
0.849 0.750 0.335 Mg

***

[4]
Ho4ErMg (PBE, relaxed); ΔE_f = -0.010 eV/atom; symmetry = P4/mmm (123); D(E_F) = 8.31 states/eV/f.u.; distance to the lowest polymorph of the same formula = 0.00 eV per formula unit; spin magnetization = 0.0001 μB/atom
1.0
3.528 0.000 0.000
0.000 3.528 0.000
0.000 0.000 14.318
Ho Er Mg
4 1 1
direct
0.000 0.000 0.155 Ho
0.000 0.000 0.845 Ho
0.500 0.500 0.326 Ho
0.500 0.500 0.674 Ho
0.000 0.000 0.500 Er
0.500 0.500 0.000 Mg